The following is a DFT calculation (PBE) of a geometry-optimized Zn3AsSe structure.

abc: 4.8271 4.8271 4.8271
angles: 90.00 90.00 90.00
Element x y z (fractional)
Zn (0.0000, 0.5000, 0.0000)
As (0.0000, 0.0000, 0.0000)
Se (0.5000, 0.5000, 0.5000)
Zn (0.5000, 0.0000, 0.0000)
Zn (0.0000, 0.0000, 0.5000)

E_form (uncorrected) = 16 kJ per mole of atoms
space group = Pm-3m, No. 221
crystal system = cubic